# MnPdI3

A relaxed MnPdI3 crystal (PBE, Alexandria via LeMat-Bulk).

a b c (Å): 5.5143 5.5143 5.5143
angles (deg): 90.00 90.00 90.00
Closest atoms and distances in Å follow each position.
Space group Pm-3m (No. 221)
Unique sites:
Mn1 0.0000 0.0000 0.0000 (multiplicity 1)  12 I 3.90
Pd1 0.5000 0.5000 0.5000 (multiplicity 1)  6 I 2.76
I1 0.0000 0.5000 0.5000 (multiplicity 3)  2 Pd 2.76

Summary:
Formation energy (no corrections): 149 kJ/mol of formula units
DFT total energy: -3.493 eV per atom
Calculated volume: 168 Å³/cell
Energy above the most stable polymorph in this dataset: 0 meV per atom